Run P
First-principles (PBE-GGA) data for a relaxed structure of CsLaSc3, as listed in Alexandria via LeMat-Bulk.

As for the spin magnetization: 0.00 μB per atom. The value obtained for the density of states at the Fermi level is 9.8 states/eV per cell.

The space group is Pm-3m (No. 221) and the conventional cell measures 5.4280, 5.4280 and 5.4280 Å, with angles of 90.00, 90.00 and 90.00 degrees. The inequivalent atoms are Cs at (0.0000, 0.0000, 0.0000), La at (0.5000, 0.5000, 0.5000) and Sc at (0.0000, 0.0000, 0.5000).



Run Q
First-principles (PBE-GGA) data for a relaxed structure of CsLaSc3, as listed in Alexandria via LeMat-Bulk.

As for the spin magnetization: 0.01 μB per atom. The value obtained for the density of states at the Fermi level is 6.6 states/eV per cell.

The space group is Pm-3m (No. 221) and the conventional cell measures 5.7518, 5.7518 and 5.7518 Å, with angles of 90.00, 90.00 and 90.00 degrees. The inequivalent atoms are Cs at (0.0000, 0.0000, 0.0000), La at (0.5000, 0.5000, 0.5000) and Sc at (0.0000, 0.5000, 0.5000).



Most favorable first, least favorable last: run Q, run P